The following is a DFT calculation (SCAN) of a crystal of LiGa relaxed with PBEsol.

Unit cell a=4.3477 b=4.3477 c=4.3477 alpha=60.00 beta=60.00 gamma=60.00
Last column: nearest neighbours and their distance in Å.
Atoms (fractional coordinates):
Li1 0.7500 0.7500 0.7500  4 Ga 2.66, 4 Li 2.66
Ga1 0.0000 0.0000 0.0000  4 Ga 2.66, 4 Li 2.66
Li2 0.5000 0.5000 0.5000  4 Li 2.66, 4 Ga 2.66
Ga2 0.2500 0.2500 0.2500  4 Li 2.66, 4 Ga 2.66

Calculated values
uncorrected energy	-9.75	eV/atom
calculated density	4381	kg/m³
energy of formation	-386	meV per atom
DOS at the Fermi energy	0.1080	states/eV/atom

***

The following is a DFT calculation (SCAN) of a crystal of GdY3V4O16 relaxed with PBEsol.

Unit cell a=5.9318 b=5.9318 c=10.0812 alpha=90.00 beta=90.00 gamma=116.33
Last column: nearest neighbours and their distance in Å.
Atoms (fractional coordinates):
Y1 0.0000 0.5000 0.7509  8 O 2.29-2.43
O1 0.2331 0.9156 0.6602  1 V 1.71
O2 0.2341 0.4199 0.5929  1 V 1.71
O3 0.5822 0.2676 0.8441  1 V 1.71
O4 0.7659 0.5801 0.5929  1 V 1.71
Y2 0.5000 0.5000 0.0000  8 O 2.28-2.42
O5 0.9156 0.2331 0.3398  1 V 1.71
O6 0.4199 0.2341 0.4071  1 V 1.71
O7 0.7331 0.9178 0.0923  1 V 1.71
O8 0.4178 0.7324 0.8441  1 V 1.71
O9 0.0844 0.7669 0.3398  1 V 1.71
O10 0.2669 0.0822 0.0923  1 V 1.71
Y3 0.5000 0.0000 0.2491  8 O 2.29-2.43
V1 0.5000 0.5000 0.5000  4 O 1.71
O11 0.2676 0.5822 0.1559  1 V 1.71
O12 0.5801 0.7659 0.4071  1 V 1.71
O13 0.9178 0.7331 0.9077  1 V 1.71
O14 0.7324 0.4178 0.1559  1 V 1.71
O15 0.7669 0.0844 0.6602  1 V 1.71
V2 0.5000 0.0000 0.7524  4 O 1.71
V3 0.0000 0.5000 0.2476  4 O 1.71
V4 0.0000 0.0000 0.0000  4 O 1.71
Gd1 0.0000 0.0000 0.5000  8 O 2.32-2.44
O16 0.0822 0.2669 0.9077  1 V 1.71

Calculated values
uncorrected energy	-16.31	eV/atom
calculated density	4616	kg/m³
E_form (uncorrected)	-7664.6	kJ/mol of formula units
DOS at the Fermi energy	0.0000	states/eV/atom

***

The following is a DFT calculation (SCAN) of a crystal of LiAlGeO4 relaxed with PBEsol.

Unit cell a=8.5352 b=8.5352 c=8.5352 alpha=107.86 beta=107.86 gamma=107.86
Last column: nearest neighbours and their distance in Å.
Atoms (fractional coordinates):
Al1 0.1328 0.7226 0.8990  4 O 1.76-1.78
O1 0.6197 0.6728 0.9539  1 Ge 1.76, 1 Al 1.78, 1 Li 1.97
Li1 0.9391 0.7716 0.5405  4 O 1.93-1.97
O2 0.5873 0.9132 0.2527  1 Ge 1.75, 1 Al 1.77, 1 Li 1.93
O3 0.7181 0.0498 0.0304  1 Ge 1.75, 1 Al 1.77
Li2 0.0605 0.2280 0.4580  4 O 1.93-1.96
O4 0.2826 0.9517 0.9696  1 Ge 1.76, 1 Al 1.76, 1 Li 1.96
Li3 0.7716 0.5405 0.9391  4 O 1.93-1.97
O5 0.3389 0.6458 0.3123  1 Ge 1.75, 1 Al 1.77, 1 Li 1.95
Al2 0.7226 0.8990 0.1328  4 O 1.76-1.78
O6 0.3787 0.3254 0.0454  1 Ge 1.77, 1 Al 1.77, 1 Li 1.96
Ge1 0.3867 0.5674 0.7952  4 O 1.75-1.76
O7 0.2527 0.5873 0.9132  1 Ge 1.75, 1 Al 1.77, 1 Li 1.93
Li4 0.5405 0.9391 0.7716  4 O 1.93-1.97
Al3 0.6129 0.4331 0.2062  4 O 1.75-1.77
Ge2 0.2783 0.1013 0.8674  4 O 1.75-1.77
Al4 0.4331 0.2062 0.6129  4 O 1.75-1.77
Li5 0.4580 0.0605 0.2280  4 O 1.93-1.96
Al5 0.8990 0.1328 0.7226  4 O 1.76-1.78
Ge3 0.5674 0.7952 0.3867  4 O 1.75-1.76
Ge4 0.7952 0.3867 0.5674  4 O 1.75-1.76
O8 0.6458 0.3123 0.3389  1 Ge 1.75, 1 Al 1.77, 1 Li 1.95
O9 0.9696 0.2826 0.9517  1 Ge 1.76, 1 Al 1.76, 1 Li 1.96
O10 0.0869 0.7469 0.4111  1 Ge 1.76, 1 Al 1.76, 1 Li 1.93
O11 0.9132 0.2527 0.5873  1 Ge 1.75, 1 Al 1.77, 1 Li 1.93
O12 0.6875 0.6627 0.3556  1 Al 1.75, 1 Ge 1.76, 1 Li 1.94
O13 0.6728 0.9539 0.6197  1 Ge 1.76, 1 Al 1.78, 1 Li 1.97
Ge5 0.1013 0.8674 0.2783  4 O 1.75-1.77
O14 0.6627 0.3556 0.6875  1 Al 1.75, 1 Ge 1.76, 1 Li 1.94
O15 0.0304 0.7181 0.0498  1 Ge 1.75, 1 Al 1.77
Ge6 0.8674 0.2783 0.1013  4 O 1.75-1.77
O16 0.3556 0.6875 0.6627  1 Al 1.75, 1 Ge 1.76, 1 Li 1.94
O17 0.0454 0.3787 0.3254  1 Ge 1.77, 1 Al 1.77, 1 Li 1.96
O18 0.9517 0.9696 0.2826  1 Ge 1.76, 1 Al 1.76, 1 Li 1.96
O19 0.7469 0.4111 0.0869  1 Ge 1.76, 1 Al 1.76, 1 Li 1.93
O20 0.0498 0.0304 0.7181  1 Ge 1.75, 1 Al 1.77
O21 0.3123 0.3389 0.6458  1 Ge 1.75, 1 Al 1.77, 1 Li 1.95
O22 0.9539 0.6197 0.6728  1 Ge 1.76, 1 Al 1.78, 1 Li 1.97
Li6 0.2280 0.4580 0.0605  4 O 1.93-1.96
O23 0.3254 0.0454 0.3787  1 Ge 1.77, 1 Al 1.77, 1 Li 1.96
O24 0.4111 0.0869 0.7469  1 Ge 1.76, 1 Al 1.76, 1 Li 1.93
Al6 0.2062 0.6129 0.4331  4 O 1.75-1.77

Calculated values
uncorrected energy	-10.26	eV/atom
calculated density	3364	kg/m³
E_form (uncorrected)	-1707.4	kJ/mol of formula units
DOS at the Fermi energy	0.0000	states/eV/atom
energy above the most stable polymorph in this dataset	0.0	meV per atom

***

The following is a DFT calculation (SCAN) of a crystal of LiCo5O3F5 relaxed with PBEsol.

Unit cell a=5.5456 b=5.9008 c=5.9991 alpha=118.74 beta=90.00 gamma=118.03
Last column: nearest neighbours and their distance in Å.
Atoms (fractional coordinates):
O1 0.5930 0.1860 0.8191  4 Co 1.86-1.93
F1 0.6325 0.7568 0.8857  1 Li 1.99, 3 Co 2.01-2.19
O2 0.1532 0.3064 0.4560  4 Co 1.85-1.94
Co1 0.7006 0.4012 0.1879  2 O 1.81-1.86
O3 0.6129 0.2259 0.3785  3 Co 1.81-1.87
Co2 0.0445 0.0891 0.0885  1 O 1.85, 3 F 2.01-2.02
Li1 0.3793 0.7586 0.1219  5 F 1.99-2.10, 1 O 2.05
Co3 0.4006 0.2565 0.6209  3 O 1.87-1.90, 1 F 2.09
F2 0.1196 0.7420 0.3513  1 Li 1.99, 2 Co 2.03-2.09
Co4 0.8558 0.2565 0.6209  3 O 1.87-1.90, 1 F 2.09
F3 0.6224 0.7420 0.3513  1 Li 1.99, 2 Co 2.03-2.09
F4 0.1391 0.2782 0.8705  3 Co 2.02-2.09, 1 Li 2.10
Co5 0.3721 0.7441 0.6119  2 O 1.93-1.94, 4 F 2.09-2.14
F5 0.1243 0.7568 0.8857  1 Li 1.99, 3 Co 2.01-2.19

Calculated values
uncorrected energy	-10.70	eV/atom
calculated density	5080	kg/m³
E_form (uncorrected)	-2369.8	kJ/mol of formula units
DOS at the Fermi energy	0.1309	states/eV/atom

***

The following is a DFT calculation (SCAN) of a crystal of Si3PH9 relaxed with PBEsol.

Unit cell a=5.6245 b=8.9525 c=12.0069 alpha=90.00 beta=90.00 gamma=93.10
Last column: nearest neighbours and their distance in Å.
Atoms (fractional coordinates):
Si1 0.2950 0.3828 0.7237  3 H 1.49-1.50
P1 0.2890 0.1779 0.6144  3 Si 2.24-2.25
Si2 0.8878 0.1589 0.6136  3 H 1.50
Si3 0.6915 0.6969 0.5473  3 H 1.50
H1 0.8627 0.0026 0.1768  1 Si 1.50
H2 0.5547 0.8736 0.0612  1 Si 1.50
H3 0.1978 0.4331 0.0154  1 Si 1.50
H4 0.8102 0.0843 0.7202  1 Si 1.50
H5 0.5471 0.4441 0.7306  1 Si 1.49
Si4 0.3085 0.8031 0.0473  3 H 1.50
Si5 0.3085 0.3031 0.4527  3 H 1.50
H6 0.2046 0.8311 0.6645  1 Si 1.50
H7 0.4453 0.6264 0.5612  1 Si 1.50
H8 0.5547 0.3736 0.4388  1 Si 1.50
H9 0.4453 0.1264 0.9388  1 Si 1.50
H10 0.8627 0.5026 0.3232  1 Si 1.50
H11 0.4529 0.5559 0.2694  1 Si 1.49
H12 0.8102 0.5843 0.7798  1 Si 1.50
Si6 0.1122 0.3411 0.1136  3 H 1.50
H13 0.7409 0.3074 0.8606  1 Si 1.50
H14 0.5471 0.9441 0.7694  1 Si 1.49
H15 0.7409 0.8074 0.6394  1 Si 1.50
P2 0.2890 0.6779 0.8856  3 Si 2.24-2.25
P3 0.7110 0.3221 0.1144  3 Si 2.24-2.25
H16 0.2591 0.6926 0.1394  1 Si 1.50
H17 0.7928 0.3122 0.6068  1 Si 1.50
Si7 0.1122 0.8411 0.3864  3 H 1.50
H18 0.7954 0.6689 0.1645  1 Si 1.50
H19 0.2072 0.6878 0.3932  1 Si 1.50
H20 0.2072 0.1878 0.1068  1 Si 1.50
H21 0.1373 0.9974 0.8232  1 Si 1.50
H22 0.8022 0.5669 0.9846  1 Si 1.50
H23 0.7928 0.8122 0.8932  1 Si 1.50
H24 0.8700 0.5780 0.5525  1 Si 1.50
H25 0.2046 0.3311 0.8355  1 Si 1.50
H26 0.8700 0.0780 0.9475  1 Si 1.50
H27 0.4529 0.0559 0.2306  1 Si 1.49
Si8 0.7050 0.1172 0.2237  3 H 1.49-1.50
Si9 0.2950 0.8828 0.7763  3 H 1.49-1.50
H28 0.8022 0.0669 0.5154  1 Si 1.50
Si10 0.8878 0.6589 0.8864  3 H 1.50
H29 0.1300 0.4220 0.4475  1 Si 1.50
H30 0.2591 0.1926 0.3606  1 Si 1.50
P4 0.7110 0.8221 0.3856  3 Si 2.24-2.25
H31 0.1373 0.4974 0.6768  1 Si 1.50
Si11 0.7050 0.6172 0.2763  3 H 1.49-1.50
H32 0.1978 0.9331 0.4846  1 Si 1.50
H33 0.1898 0.9157 0.2798  1 Si 1.50
Si12 0.6915 0.1969 0.9527  3 H 1.50
H34 0.1300 0.9220 0.0525  1 Si 1.50
H35 0.7954 0.1689 0.3355  1 Si 1.50
H36 0.1898 0.4157 0.2202  1 Si 1.50

Calculated values
uncorrected energy	-5.52	eV/atom
calculated density	1368	kg/m³
DOS at the Fermi energy	0.0000	states/eV/atom

***

The following is a DFT calculation (SCAN) of a crystal of KLiTl3 relaxed with PBEsol.

Unit cell a=5.2629 b=5.2629 c=5.2629 alpha=90.00 beta=90.00 gamma=90.00
Last column: nearest neighbours and their distance in Å.
Atoms (fractional coordinates):
K1 0.5000 0.5000 0.5000  12 Tl 3.72
Tl1 0.5000 0.0000 0.0000  2 Li 2.63
Tl2 0.0000 0.5000 0.0000  2 Li 2.63
Li1 0.0000 0.0000 0.0000  6 Tl 2.63
Tl3 0.0000 0.0000 0.5000  2 Li 2.63

Calculated values
uncorrected energy	-45.68	eV/atom
calculated density	7509	kg/m³
energy of formation	-126	meV per atom
DOS at the Fermi energy	0.5064	states/eV/atom

***

Number 1: total magnetic moment 0.000 μB/f.u.. Number 2: total magnetic moment 6.983 μB/f.u.. Number 3: total magnetic moment 0.000 μB/f.u.. Number 4: total magnetic moment 13.009 μB/f.u.. Number 5: total magnetic moment 0.000 μB/f.u.. Number 6: total magnetic moment 0.000 μB/f.u..